# 1
VIrO3 after structural relaxation. Source: Alexandria via LeMat-Bulk, functional PBE+U.

Geometry as CIF:
```
data_VIrO3
_space_group_name_H-M_alt 'P m -3 m'
_space_group_IT_number 221
_space_group_name_Hall '-P 4 2 3'
_cell_length_a 3.816
_cell_length_b 3.816
_cell_length_c 3.816
_cell_angle_alpha 90.00
_cell_angle_beta 90.00
_cell_angle_gamma 90.00
loop_
_atom_site_label
_atom_site_type_symbol
_atom_site_fract_x
_atom_site_fract_y
_atom_site_fract_z
_atom_site_occupancy
V1 V 0.000 0.000 0.000 1
Ir1 Ir 0.500 0.500 0.500 1
O1 O 0.000 0.000 0.500 1
```

Results
Electronic total energy ... -6.536 eV per atom
Size of the total moment ... 3.36 μB per cell

---

# 2
V3IrO after structural relaxation. Source: Alexandria via LeMat-Bulk, functional PBE+U.

Geometry as CIF:
```
data_V3IrO
_space_group_name_H-M_alt 'P m -3 m'
_space_group_IT_number 221
_space_group_name_Hall '-P 4 2 3'
_cell_length_a 4.109
_cell_length_b 4.109
_cell_length_c 4.109
_cell_angle_alpha 90.00
_cell_angle_beta 90.00
_cell_angle_gamma 90.00
loop_
_atom_site_label
_atom_site_type_symbol
_atom_site_fract_x
_atom_site_fract_y
_atom_site_fract_z
_atom_site_occupancy
V1 V 0.000 0.000 0.500 1
Ir1 Ir 0.500 0.500 0.500 1
O1 O 0.000 0.000 0.000 1
```

Results
Electronic total energy ... -7.241 eV per atom
Size of the total moment ... 7.67 μB per cell